A relaxed SrZr2Tl2 crystal. Source: Alexandria via LeMat-Bulk, functional PBE.

- offset from the most stable computed form (meV per atom) = 2.7
- calculated formation energy (eV/atom) = 0.022

Cell lengths 4.4719, 4.4719, 14.2604 Å; angles 90.00, 90.00, 90.00 degrees
Closest atoms and distances in Å follow each position.
Space group I4/mmm (No. 139)
One atom of each set of equivalent atoms:
1 Sr 0.0000 0.0000 0.0000  8 Tl 3.50
2 Zr 0.0000 0.5000 0.2500  4 Tl 3.04, 4 Zr 3.16
3 Tl 0.0000 0.0000 0.3943  1 Tl 3.02, 4 Zr 3.04

***

A relaxed ZnGaSb2Te crystal. Source: Alexandria via LeMat-Bulk, functional PBE.

- offset from the most stable computed form (meV per atom) = 159.0

Cell lengths 5.3580, 5.3580, 5.4106 Å; angles 90.00, 90.00, 90.00 degrees
Closest atoms and distances in Å follow each position.
Space group P4/mmm (No. 123)
One atom of each set of equivalent atoms:
1 Zn 0.0000 0.0000 0.0000  4 Te 3.79, 8 Sb 3.81
2 Ga 0.5000 0.5000 0.5000  4 Sb 2.68, 2 Te 2.71
3 Sb 0.0000 0.5000 0.5000  2 Ga 2.68
4 Te 0.5000 0.5000 0.0000  2 Ga 2.71

***

A relaxed TaNiIr2 crystal. Source: Alexandria via LeMat-Bulk, functional PBE.

- calculated formation energy (eV/atom) = -0.300

Cell lengths 5.5232, 7.3045, 2.9076 Å; angles 90.00, 90.00, 90.00 degrees
Closest atoms and distances in Å follow each position.
Space group Cmmm (No. 65)
One atom of each set of equivalent atoms:
1 Ta 0.0000 0.0000 0.0000  8 Ir 2.71, 2 Ni 2.76, 2 Ta 2.91
2 Ni 0.0000 0.5000 0.0000  8 Ir 2.71, 2 Ta 2.76, 2 Ni 2.91
3 Ir 0.2500 0.2500 0.5000  4 Ta 2.71, 4 Ni 2.71, 4 Ir 2.76-2.91

***

A relaxed K4SF2 crystal. Source: Alexandria via LeMat-Bulk, functional PBE.

- offset from the most stable computed form (meV per atom) = 277.7

Cell lengths 5.9217, 5.9217, 15.0228 Å; angles 90.00, 90.00, 90.00 degrees
Closest atoms and distances in Å follow each position.
Space group I4/mmm (No. 139)
One atom of each set of equivalent atoms:
1 K 0.0000 0.0000 0.1985  1 F 2.41
2 K 0.0000 0.5000 0.0000  2 S 2.96
3 S 0.0000 0.0000 0.0000  6 K 2.96-2.98
4 F 0.0000 0.0000 0.3587  1 K 2.41

***

A relaxed LiEuPt2 crystal. Source: Alexandria via LeMat-Bulk, functional PBE.

- calculated formation energy (eV/atom) = -0.615

Cell lengths 3.5260, 3.5260, 6.0282 Å; angles 90.00, 90.00, 90.00 degrees
Closest atoms and distances in Å follow each position.
Space group P4/mmm (No. 123)
One atom of each set of equivalent atoms:
1 Li 0.0000 0.0000 0.0000  8 Pt 2.83, 2 Eu 3.01
2 Eu 0.0000 0.0000 0.5000  8 Pt 3.00, 2 Li 3.01
3 Pt 0.5000 0.5000 0.2229  1 Pt 2.69, 4 Li 2.83, 4 Eu 3.00

***

A relaxed TmAlGa2Ni4 crystal. Source: Alexandria via LeMat-Bulk, functional PBE.

- calculated formation energy (eV/atom) = -0.509

Cell lengths 4.0738, 4.0738, 23.8500 Å; angles 90.00, 90.00, 120.00 degrees
Closest atoms and distances in Å follow each position.
Space group R-3m (No. 166, hexagonal axes)
One atom of each set of equivalent atoms:
1 Tm 0.0000 0.0000 0.0000  8 Ni 2.87-3.16, 6 Ga 3.18
2 Al 0.0000 0.0000 0.5000  8 Ni 2.33-2.49
3 Ga 0.0000 0.0000 0.2435  7 Ni 2.40-2.65
4 Ni 0.0000 0.0000 0.1324  3 Al 2.49, 4 Ga 2.56-2.65
5 Ni 0.0000 0.0000 0.4021  1 Al 2.33, 3 Ga 2.40

***

| no. | M_tot (μB per cell) |
| --- | --- |
| 1 | 0.0 |
| 2 | 0.0 |
| 3 | 0.0 |
| 4 | 0.0 |
| 5 | 6.6 |
| 6 | 0.0 |